Cr4AsAu | PBE | relaxed

Calculated values
- total DFT energy (no corrections) (eV/atom) = -7.27
- symmetry = No. 216
- DOS(E_F) (states/eV/f.u.) = 7.288
- ΔH_f (0 K) (eV/atom) = 0.468
- total moment (μB/f.u.) = 0.00

Lattice parameters (Å, degrees): 4.8682 4.8682 4.8682 60.00 60.00 60.00
Closest atoms and distances in Å follow each position.
Fractional coordinates of all 6 atoms:
Cr: 0.3726 0.3726 0.8821  6 Cr 2.39-2.48
Cr: 0.3726 0.3726 0.3726  6 Cr 2.39-2.48
Cr: 0.3726 0.8821 0.3726  6 Cr 2.39-2.48
Cr: 0.8821 0.3726 0.3726  6 Cr 2.39-2.48
Au: 0.0000 0.0000 0.0000  12 Cr 2.85, 4 As 2.98
As: 0.7500 0.7500 0.7500  12 Cr 2.86, 4 Au 2.98